No. 1
This record from the Alexandria database describes a crystal of ScSiI2 relaxed with PBEsol. The functional is SCAN.

The structure in POSCAR format:
```
ScSiI2
1.0
-3.9608 3.9608 3.4596
3.9608 -3.9608 3.4596
3.9608 3.9608 -3.4596
Sc Si I
2 2 4
direct
0.0000 0.0000 0.0000
0.7500 0.2500 0.5000
0.2500 0.7500 0.5000
0.5000 0.5000 0.0000
0.1181 0.6250 0.9931
0.3750 0.3681 0.4931
0.6319 0.1250 0.0069
0.8750 0.8819 0.5069
```

Computed properties:
The calculation puts the magnetic moment at 0.0 μB per formula unit. The value obtained for the uncorrected formation energy is 17.89 kJ/mol of atoms. As for the symmetry: No. 122. The value obtained for the total energy is -1.78224 Ry per atom.



No. 2
This record from the Alexandria database describes a crystal of CaNiN relaxed with PBEsol. The functional is SCAN.

The structure in POSCAR format:
```
CaNiN
1.0
3.5090 0.0000 0.0000
0.0000 3.5090 0.0000
0.0000 0.0000 6.9662
Ca Ni N
2 2 2
direct
0.0000 0.0000 0.2500
0.0000 0.0000 0.7500
0.5000 0.5000 0.0000
0.5000 0.5000 0.5000
0.0000 0.5000 0.0000
0.5000 0.0000 0.5000
```

Computed properties:
The calculation puts the magnetic moment at 0.0 μB per formula unit. The value obtained for the uncorrected formation energy is -74.61 kJ/mol of atoms. As for the symmetry: No. 131. The value obtained for the total energy is -0.91745 Ry per atom.



- What is the magnetic moment in the second record?
  0.0 μB per formula unit